1.
VASP calculation (PBE) on an optimized crystal structure of Pm2NbGe3Ir4.

a b c (Å): 4.1980 4.1980 10.7340
angles (deg): 90.00 90.00 90.00
Element x y z (fractional)
1 Pm 0.0000 0.5000 0.2390
2 Pm 0.5000 0.0000 0.7610
3 Nb 0.0000 0.0000 0.5000
4 Ge 0.0000 0.5000 0.8717
5 Ge 0.5000 0.0000 0.1283
6 Ge 0.5000 0.5000 0.5000
7 Ir 0.0000 0.0000 0.0000
8 Ir 0.0000 0.5000 0.6411
9 Ir 0.5000 0.0000 0.3589
10 Ir 0.5000 0.5000 0.0000

Calculated values
density	12.02	g/cm³
calculated volume	189	Å³/cell
formation enthalpy at 0 K	-749.3	meV per atom

---

2.
VASP calculation (PBE) on an optimized crystal structure of Sr3IrO4.

a b c (Å): 8.1655 7.8816 4.8988
angles (deg): 90.00 90.00 90.00
Element x y z (fractional)
1 Sr 0.0000 0.0956 0.0000
2 Sr 0.2315 0.3482 0.4976
3 Sr 0.2685 0.6518 0.9976
4 Sr 0.5000 0.9044 0.5000
5 Sr 0.7315 0.6518 0.9976
6 Sr 0.7685 0.3482 0.4976
7 Ir 0.0000 0.7179 0.4742
8 Ir 0.5000 0.2821 0.9742
9 O 0.0000 0.1740 0.4992
10 O 0.0000 0.7802 0.0674
11 O 0.2432 0.6961 0.4998
12 O 0.2568 0.3039 0.9998
13 O 0.5000 0.2198 0.5674
14 O 0.5000 0.8260 0.9992
15 O 0.7432 0.3039 0.9998
16 O 0.7568 0.6961 0.4998

Calculated values
ΔE_f (raw)	-1880	meV/atom
density	5.47	g/cm³
calculated volume	315	Å³/cell

---

3.
VASP calculation (PBE) on an optimized crystal structure of Tl2RuPb.

a b c (Å): 3.3290 3.3290 31.0929
angles (deg): 90.00 90.00 120.00
Element x y z (fractional)
1 Tl 0.0000 0.0000 0.2336
2 Tl 0.0000 0.0000 0.7664
3 Tl 0.3333 0.6667 0.4331
4 Tl 0.3333 0.6667 0.9003
5 Tl 0.6667 0.3333 0.0997
6 Tl 0.6667 0.3333 0.5669
7 Ru 0.0000 0.0000 0.5000
8 Ru 0.3333 0.6667 0.1667
9 Ru 0.6667 0.3333 0.8333
10 Pb 0.0000 0.0000 0.0000
11 Pb 0.3333 0.6667 0.6667
12 Pb 0.6667 0.3333 0.3333

Calculated values
polymorph energy (0 for the lowest one)	0.164	eV/atom
density	11.97	g/cm³
calculated volume	298	Å³/cell
formation enthalpy at 0 K	457.7	meV per atom